No. 1
## KCa3 (GGA-PBEsol)

Data for crystalline KCa3 at its relaxed geometry.

a b c (Å): 4.318 6.345 13.155
angles (deg): 90.00 90.00 90.00
Fractional positions:
1 K 0.000 0.000 0.000
2 K 0.500 0.500 0.000
3 Ca 0.000 0.000 0.500
4 Ca 0.000 0.500 0.270
5 Ca 0.000 0.500 0.730
6 Ca 0.500 0.000 0.270
7 Ca 0.500 0.000 0.730
8 Ca 0.500 0.500 0.500

Summary:
Calculated formation energy   92 meV/atom
Electronic total energy   -1.79 eV/atom

No. 2
## KCa3 (GGA-PBEsol)

Data for crystalline KCa3 at its relaxed geometry.

a b c (Å): 7.971 11.534 3.896
angles (deg): 90.00 90.00 90.00
Fractional positions:
1 K 0.000 0.000 0.000
2 K 0.500 0.500 0.000
3 Ca 0.000 0.500 0.000
4 Ca 0.250 0.250 0.500
5 Ca 0.250 0.750 0.500
6 Ca 0.500 0.000 0.000
7 Ca 0.750 0.250 0.500
8 Ca 0.750 0.750 0.500

Summary:
Calculated formation energy   143 meV/atom
Electronic total energy   -1.74 eV/atom

No. 3
## K2CaLa (GGA-PBEsol)

Data for crystalline K2CaLa at its relaxed geometry.

a b c (Å): 9.124 9.124 9.124
angles (deg): 90.00 90.00 90.00
Fractional positions:
1 K 0.250 0.250 0.250
2 K 0.250 0.250 0.750
3 K 0.250 0.750 0.250
4 K 0.250 0.750 0.750
5 K 0.750 0.250 0.250
6 K 0.750 0.250 0.750
7 K 0.750 0.750 0.250
8 K 0.750 0.750 0.750
9 Ca 0.000 0.000 0.000
10 Ca 0.000 0.500 0.500
11 Ca 0.500 0.000 0.500
12 Ca 0.500 0.500 0.000
13 La 0.000 0.000 0.500
14 La 0.000 0.500 0.000
15 La 0.500 0.000 0.000
16 La 0.500 0.500 0.500

Summary:
Calculated formation energy   565 meV/atom
Energy above the most stable polymorph in this dataset   335 meV per atom
Electronic total energy   -1.87 eV/atom

No. 4
## KCaLa3 (GGA-PBEsol)

Data for crystalline KCaLa3 at its relaxed geometry.

a b c (Å): 5.774 5.774 5.774
angles (deg): 90.00 90.00 90.00
Fractional positions:
1 K 0.000 0.000 0.000
2 Ca 0.500 0.500 0.500
3 La 0.000 0.000 0.500
4 La 0.000 0.500 0.000
5 La 0.500 0.000 0.000

Summary:
Calculated formation energy   866 meV/atom
Electronic total energy   -3.00 eV/atom